Record 1
YThZr2 (PBE-GGA, optimized geometry); energy relative to the lowest polymorph listed for this composition = 26 meV/atom; magnetization = 0.0000 μB/atom; ΔH_f (0 K) = 13.1 kJ/mol of atoms; E_tot = -30.44 eV for the cell shown; DOS at the Fermi energy = 1.621 states/eV/atom; space group = Cm, No. 8
1.0
2.927 -1.694 0.000
2.927 1.694 0.000
-1.958 0.000 11.008
Y Th Zr
1 1 2
Direct
0.000 0.000 0.000
0.168 0.168 0.501
0.421 0.421 0.252
0.588 0.588 0.750

Record 2
Y2ThZr (PBE-GGA, optimized geometry); energy relative to the lowest polymorph listed for this composition = 13 meV/atom; magnetization = 0.0000 μB/atom; ΔH_f (0 K) = 8.7 kJ/mol of atoms; E_tot = -28.54 eV for the cell shown; DOS at the Fermi energy = 1.158 states/eV/atom; space group = P4/mmm, No. 123
1.0
4.823 0.000 0.000
0.000 4.823 0.000
0.000 0.000 5.053
Y Th Zr
2 1 1
Direct
0.000 0.500 0.000
0.500 0.000 0.000
0.000 0.000 0.500
0.500 0.500 0.500

Record 3
YThZr2 (PBE-GGA, optimized geometry); energy relative to the lowest polymorph listed for this composition = 73 meV/atom; magnetization = 0.0001 μB/atom; ΔH_f (0 K) = 17.6 kJ/mol of atoms; E_tot = -30.25 eV for the cell shown; DOS at the Fermi energy = 1.788 states/eV/atom; space group = Fm-3m, No. 225
1.0
0.000 3.780 3.780
3.780 0.000 3.780
3.780 3.780 0.000
Y Th Zr
1 1 2
Direct
0.000 0.000 0.000
0.500 0.500 0.500
0.250 0.250 0.250
0.750 0.750 0.750

Record 4
YThZr (PBE-GGA, optimized geometry); energy relative to the lowest polymorph listed for this composition = 0 meV/atom; magnetization = 0.0000 μB/atom; ΔH_f (0 K) = 9.5 kJ/mol of atoms; E_tot = -22.14 eV for the cell shown; DOS at the Fermi energy = 1.307 states/eV/atom; space group = I4mm, No. 107
1.0
-1.700 1.700 7.525
1.700 -1.700 7.525
1.700 1.700 -7.525
Y Th Zr
1 1 1
Direct
0.000 0.000 0.000
0.682 0.682 0.000
0.340 0.340 0.000

Record 5
YThZr2 (PBE-GGA, optimized geometry); energy relative to the lowest polymorph listed for this composition = 38 meV/atom; magnetization = 0.0000 μB/atom; ΔH_f (0 K) = 14.2 kJ/mol of atoms; E_tot = -30.39 eV for the cell shown; DOS at the Fermi energy = 1.428 states/eV/atom; space group = R-3m, No. 166
1.0
1.707 0.985 10.855
-1.707 0.985 10.855
0.000 -1.971 10.855
Y Th Zr
1 1 2
Direct
0.000 0.000 0.000
0.500 0.500 0.500
0.248 0.248 0.248
0.752 0.752 0.752

Record 6
Y2ThZr (PBE-GGA, optimized geometry); energy relative to the lowest polymorph listed for this composition = 133 meV/atom; magnetization = 0.0002 μB/atom; ΔH_f (0 K) = 20.3 kJ/mol of atoms; E_tot = -28.05 eV for the cell shown; DOS at the Fermi energy = 1.969 states/eV/atom; space group = P4/mmm, No. 123
1.0
4.091 0.000 0.000
0.000 4.091 0.000
0.000 0.000 7.092
Y Th Zr
2 1 1
Direct
0.000 0.000 0.234
0.000 0.000 0.766
0.500 0.500 0.500
0.500 0.500 0.000

Record 7
YThZr (PBE-GGA, optimized geometry); energy relative to the lowest polymorph listed for this composition = 17 meV/atom; magnetization = 0.0000 μB/atom; ΔH_f (0 K) = 11.1 kJ/mol of atoms; E_tot = -44.17 eV for the cell shown; DOS at the Fermi energy = 1.831 states/eV/atom; space group = P-6m2, No. 187
1.0
3.457 0.000 0.000
-1.728 2.994 0.000
0.000 0.000 16.855
Y Th Zr
2 2 2
Direct
0.000 0.000 0.000
0.333 0.667 0.500
0.333 0.667 0.178
0.333 0.667 0.822
0.000 0.000 0.339
0.000 0.000 0.661

Record 8
YThZr2 (PBE-GGA, optimized geometry); energy relative to the lowest polymorph listed for this composition = 0 meV/atom; magnetization = 0.0000 μB/atom; ΔH_f (0 K) = 10.6 kJ/mol of atoms; E_tot = -30.54 eV for the cell shown; DOS at the Fermi energy = 1.281 states/eV/atom; space group = P4/mmm, No. 123
1.0
3.963 0.000 0.000
0.000 3.963 0.000
0.000 0.000 7.006
Y Th Zr
1 1 2
Direct
0.000 0.000 0.000
0.000 0.000 0.500
0.500 0.500 0.281
0.500 0.500 0.719

Record 9
Y3Th2Zr (PBE-GGA, optimized geometry); magnetization = 0.0000 μB/atom; ΔH_f (0 K) = 13.4 kJ/mol of atoms; E_tot = -83.90 eV for the cell shown; DOS at the Fermi energy = 1.738 states/eV/atom; space group = C2/m, No. 12
1.0
11.663 -1.710 0.000
11.663 1.710 0.000
-2.827 0.000 9.274
Y Th Zr
6 4 2
Direct
0.058 0.058 0.287
0.313 0.313 0.471
0.429 0.429 0.035
0.571 0.571 0.965
0.687 0.687 0.529
0.942 0.942 0.713
0.195 0.195 0.192
0.435 0.435 0.376
0.565 0.565 0.624
0.805 0.805 0.808
0.189 0.189 0.869
0.811 0.811 0.131

Record 10
Y2ThZr (PBE-GGA, optimized geometry); energy relative to the lowest polymorph listed for this composition = 0 meV/atom; magnetization = 0.0000 μB/atom; ΔH_f (0 K) = 7.5 kJ/mol of atoms; E_tot = -28.59 eV for the cell shown; DOS at the Fermi energy = 1.254 states/eV/atom; space group = R3m, No. 160
1.0
1.748 1.009 11.170
-1.748 1.009 11.170
0.000 -2.019 11.170
Y Th Zr
2 1 1
Direct
0.000 0.000 0.000
0.159 0.159 0.159
0.580 0.580 0.580
0.746 0.746 0.746

Record 11
Yb6Th (PBE-GGA, optimized geometry); magnetization = 0.0019 μB/atom; ΔH_f (0 K) = 122.4 kJ/mol of atoms; E_tot = -7.69 eV for the cell shown; DOS at the Fermi energy = 1.587 states/eV/atom; space group = Im-3m, No. 229
1.0
-4.118 4.118 4.118
4.118 -4.118 4.118
4.118 4.118 -4.118
Yb Th
6 1
Direct
0.250 0.500 0.750
0.250 0.750 0.500
0.500 0.250 0.750
0.500 0.750 0.250
0.750 0.250 0.500
0.750 0.500 0.250
0.000 0.000 0.000

Record 12
YbTh3 (PBE-GGA, optimized geometry); magnetization = 0.0001 μB/atom; ΔH_f (0 K) = 7.9 kJ/mol of atoms; E_tot = -23.46 eV for the cell shown; DOS at the Fermi energy = 1.715 states/eV/atom; space group = Pm-3m, No. 221
1.0
5.057 0.000 0.000
0.000 5.057 0.000
0.000 0.000 5.057
Yb Th
1 3
Direct
0.000 0.000 0.000
0.000 0.500 0.500
0.500 0.000 0.500
0.500 0.500 0.000

Record 13
ThZn4 (PBE-GGA, optimized geometry); magnetization = 0.1041 μB/atom; ΔH_f (0 K) = 109.8 kJ/mol of atoms; E_tot = -6.83 eV for the cell shown; DOS at the Fermi energy = 1.330 states/eV/atom; space group = Pm-3m, No. 221
1.0
5.850 0.000 0.000
0.000 5.850 0.000
0.000 0.000 5.850
Th Zn
1 4
Direct
0.000 0.000 0.000
0.000 0.000 0.500
0.000 0.500 0.000
0.500 0.000 0.000
0.500 0.500 0.500

Record 14
ThZn11 (PBE-GGA, optimized geometry); energy relative to the lowest polymorph listed for this composition = 0 meV/atom; magnetization = 0.0000 μB/atom; ΔH_f (0 K) = -16.4 kJ/mol of atoms; E_tot = -46.95 eV for the cell shown; DOS at the Fermi energy = 0.293 states/eV/atom; space group = I4_1/amd, No. 141
1.0
-5.286 5.286 3.467
5.286 -5.286 3.467
5.286 5.286 -3.467
Th Zn
2 22
Direct
0.375 0.625 0.750
0.625 0.375 0.250
0.000 0.000 0.000
0.000 0.000 0.500
0.000 0.500 0.000
0.125 0.875 0.250
0.132 0.555 0.334
0.132 0.798 0.577
0.202 0.280 0.334
0.202 0.868 0.923
0.280 0.202 0.834
0.280 0.445 0.077
0.445 0.280 0.577
0.445 0.868 0.166
0.500 0.000 0.500
0.555 0.132 0.834
0.555 0.720 0.423
0.720 0.555 0.923
0.720 0.798 0.166
0.798 0.132 0.077
0.798 0.720 0.666
0.868 0.202 0.423
0.868 0.445 0.666
0.875 0.125 0.750

Record 15
Th3Zn11 (PBE-GGA, optimized geometry); magnetization = 0.0000 μB/atom; ΔH_f (0 K) = -25.9 kJ/mol of atoms; E_tot = -40.03 eV for the cell shown; DOS at the Fermi energy = 0.455 states/eV/atom; space group = Immm, No. 71
1.0
-2.254 4.428 6.690
2.254 -4.428 6.690
2.254 4.428 -6.690
Th Zn
3 11
Direct
0.000 0.000 0.000
0.292 0.292 0.000
0.708 0.708 0.000
0.012 0.652 0.359
0.137 0.856 0.281
0.293 0.652 0.641
0.319 0.500 0.819
0.426 0.144 0.281
0.500 0.000 0.500
0.574 0.856 0.719
0.681 0.500 0.181
0.707 0.348 0.359
0.863 0.144 0.719
0.988 0.348 0.641

Record 16
Th2Zn (PBE-GGA, optimized geometry); magnetization = 0.0000 μB/atom; ΔH_f (0 K) = -13.7 kJ/mol of atoms; E_tot = -33.08 eV for the cell shown; DOS at the Fermi energy = 1.188 states/eV/atom; space group = I4/mcm, No. 140
1.0
-3.820 3.820 2.781
3.820 -3.820 2.781
3.820 3.820 -2.781
Th Zn
4 2
Direct
0.158 0.658 0.816
0.342 0.158 0.500
0.658 0.842 0.500
0.842 0.342 0.184
0.250 0.250 0.000
0.750 0.750 0.000

Record 17
Th2Zn17 (PBE-GGA, optimized geometry); magnetization = 0.0000 μB/atom; ΔH_f (0 K) = -20.4 kJ/mol of atoms; E_tot = -40.52 eV for the cell shown; DOS at the Fermi energy = 0.338 states/eV/atom; space group = R-3m, No. 166
1.0
4.537 2.620 4.404
-4.537 2.620 4.404
0.000 -5.239 4.404
Th Zn
2 17
Direct
0.162 0.162 0.162
0.838 0.838 0.838
0.000 0.500 0.500
0.149 0.149 0.660
0.149 0.660 0.149
0.208 0.500 0.792
0.208 0.792 0.500
0.340 0.851 0.851
0.401 0.401 0.401
0.500 0.000 0.500
0.500 0.208 0.792
0.500 0.500 0.000
0.500 0.792 0.208
0.599 0.599 0.599
0.660 0.149 0.149
0.792 0.208 0.500
0.792 0.500 0.208
0.851 0.340 0.851
0.851 0.851 0.340

Record 18
ThZn13 (PBE-GGA, optimized geometry); magnetization = 0.0000 μB/atom; ΔH_f (0 K) = -12.5 kJ/mol of atoms; E_tot = -51.60 eV for the cell shown; DOS at the Fermi energy = 0.291 states/eV/atom; space group = Fm-3c, No. 226
1.0
0.000 6.075 6.075
6.075 0.000 6.075
6.075 6.075 0.000
Th Zn
2 26
Direct
0.250 0.250 0.250
0.750 0.750 0.750
0.000 0.000 0.000
0.057 0.300 0.700
0.057 0.700 0.943
0.057 0.943 0.300
0.200 0.443 0.800
0.200 0.557 0.443
0.200 0.800 0.557
0.300 0.057 0.943
0.300 0.700 0.057
0.300 0.943 0.700
0.443 0.200 0.557
0.443 0.557 0.800
0.443 0.800 0.200
0.500 0.500 0.500
0.557 0.200 0.800
0.557 0.443 0.200
0.557 0.800 0.443
0.700 0.057 0.300
0.700 0.300 0.943
0.700 0.943 0.057
0.800 0.200 0.443
0.800 0.443 0.557
0.800 0.557 0.200
0.943 0.057 0.700
0.943 0.300 0.057
0.943 0.700 0.300

Record 19
ThZn12 (PBE-GGA, optimized geometry); magnetization = 0.0000 μB/atom; ΔH_f (0 K) = -15.2 kJ/mol of atoms; E_tot = -24.75 eV for the cell shown; DOS at the Fermi energy = 0.222 states/eV/atom; space group = I4/mmm, No. 139
1.0
-4.473 4.473 2.627
4.473 -4.473 2.627
4.473 4.473 -2.627
Th Zn
1 12
Direct
0.000 0.000 0.000
0.000 0.000 0.500
0.000 0.356 0.356
0.000 0.500 0.000
0.000 0.644 0.644
0.280 0.500 0.780
0.356 0.000 0.356
0.500 0.000 0.000
0.500 0.280 0.780
0.500 0.500 0.500
0.500 0.720 0.220
0.644 0.000 0.644
0.720 0.500 0.220

Record 20
Th5Zn6 (PBE-GGA, optimized geometry); magnetization = 0.0000 μB/atom; ΔH_f (0 K) = -18.5 kJ/mol of atoms; E_tot = -46.85 eV for the cell shown; DOS at the Fermi energy = 0.914 states/eV/atom; space group = Cmmm, No. 65
1.0
2.260 -16.008 0.000
2.260 16.008 0.000
0.000 0.000 3.620
Th Zn
5 6
Direct
0.000 0.000 0.000
0.190 0.810 0.500
0.378 0.622 0.000
0.622 0.378 0.000
0.810 0.190 0.500
0.085 0.915 0.500
0.273 0.727 0.000
0.459 0.541 0.500
0.541 0.459 0.500
0.727 0.273 0.000
0.915 0.085 0.500